14
Lattice="1.838 -5.927 0.000 1.838 5.927 0.000 0.000 0.000 12.086" Properties=species:S:1:pos:R:3 comment="Tm4PC2, optimized geometry, DFT PBE" m_tot_mub_per_atom=0.12 e_tot_ev_per_atom=-6.68 pbc="T T T"
Tm 0.000 0.000 0.000
Tm 0.000 0.000 6.043
Tm 1.838 2.778 7.365
Tm 1.838 2.778 10.764
Tm 1.838 0.711 3.022
Tm 1.838 -0.711 9.065
Tm 1.838 -2.778 1.322
Tm 1.838 -2.778 4.721
P 1.838 4.615 3.022
P 1.838 -4.615 9.065
C 1.838 1.603 0.736
C 1.838 1.603 5.307
C 1.838 -1.603 6.780
C 1.838 -1.603 11.350